Below is a geometry-optimized PuHfRh structure, with properties calculated at the PBE level.

Summary:
**Symmetry**: No. 107
**Volume**: 21.36 Å³ per atom
**Calculated density**: 13.6 g/cm³
**Crystal system**: tetragonal
**N(E_F)**: 8.65 states/eV per cell

a b c (Å): 3.308 3.308 6.306
angles (deg): 105.21 105.21 90.00
Each line ends with the local moment (μB).
Positions (direct):
Hf (0.302, 0.302, 0.604)  0.18
Pu (0.010, 0.010, 0.020)  5.42
Rh (0.688, 0.688, 0.376)  0.03

---

Below is a geometry-optimized PuHf2Rh structure, with properties calculated at the PBE level.

Summary:
**Symmetry**: No. 123
**Volume**: 20.24 Å³ per atom
**Calculated density**: 14.4 g/cm³
**Crystal system**: tetragonal
**N(E_F)**: 4.66 states/eV per cell

a b c (Å): 3.256 3.256 7.636
angles (deg): 90.00 90.00 90.00
Each line ends with the local moment (μB).
Positions (direct):
Hf (0.000, 0.000, 0.787)  0.01
Hf (0.000, 0.000, 0.213)  0.01
Rh (0.500, 0.500, 0.000)  0.01
Pu (0.500, 0.500, 0.500)  5.00

---

Below is a geometry-optimized PuHf2Rh structure, with properties calculated at the PBE level.

Summary:
**Symmetry**: No. 123
**Volume**: 19.43 Å³ per atom
**Calculated density**: 15.0 g/cm³
**Crystal system**: tetragonal
**N(E_F)**: 5.85 states/eV per cell

a b c (Å): 3.181 4.943 4.943
angles (deg): 90.00 90.00 90.00
Each line ends with the local moment (μB).
Positions (direct):
Rh (0.500, 0.000, 0.000)  0.07
Hf (0.000, 0.500, 0.000)  0.13
Hf (0.000, 0.000, 0.500)  0.13
Pu (0.500, 0.500, 0.500)  5.03

---

Calculated relative energy among the computed polymorphs (meV/atom), listed in the same order as above: 67, 0, 144